A relaxed structure of SrIn2OsN. Source: Alexandria via LeMat-Bulk, functional PBE-GGA.

Cell lengths 5.565, 3.785, 5.565 Å; angles 90.00, 90.00, 90.00 degrees
Sites, in units of the cell vectors:
Sr1 0.500 0.500 0.500
N1 0.000 0.500 0.000
Os1 0.000 0.000 0.000
In1 0.000 0.000 0.500
In2 0.500 0.000 0.000

Summary:
formation energy from raw total energies	0.975	eV per formula unit

A relaxed structure of SnI4F2. Source: Alexandria via LeMat-Bulk, functional PBE-GGA.

Cell lengths 5.967, 5.967, 8.535 Å; angles 69.54, 69.54, 90.00 degrees
Sites, in units of the cell vectors:
I1 0.792 0.792 0.417
I2 0.208 0.208 0.583
I3 0.000 0.500 0.000
I4 0.500 0.000 0.000
Sn1 0.000 0.000 0.000
F1 0.656 0.656 0.687
F2 0.344 0.344 0.313

Summary:
formation energy from raw total energies	-2.706	eV per formula unit

A relaxed structure of TaTcRu2. Source: Alexandria via LeMat-Bulk, functional PBE-GGA.

Cell lengths 3.819, 2.822, 6.278 Å; angles 63.41, 90.00, 90.00 degrees
Sites, in units of the cell vectors:
Ru1 0.000 0.010 0.989
Ru2 0.000 0.490 0.511
Ta1 0.500 0.250 0.250
Tc1 0.500 0.750 0.750

Summary:
formation energy from the elements	-0.09	eV per atom

For reference, calculated volume by record: 23.45; 37.74; 15.12 Å³/atom.